No. 1
12
Lattice="4.5465 0.0000 0.0000 0.0000 8.6230 0.0000 0.0000 0.0000 5.7152" Properties=species:S:1:pos:R:3 comment="ZrZn (PBE, optimized geometry)" e_tot_ha_per_atom=-0.187 rho_g_cm3=6.97 formation_enthalpy_0k_ev_per_atom=-0.19 pbc="T T T"
Zr 0.0000 0.0827 0.0000
Zr 0.0000 2.9611 3.7546
Zr 0.0000 5.6619 0.8970
Zr 0.0000 8.5403 2.8576
Zr 2.2732 1.6565 1.5482
Zr 2.2732 6.9665 4.4057
Zn 0.0000 2.9506 0.8589
Zn 0.0000 5.6724 3.7165
Zn 2.2732 1.2924 4.3404
Zn 2.2732 4.1103 5.3407
Zn 2.2732 4.5127 2.4831
Zn 2.2732 7.3306 1.4828

---

No. 2
8
Lattice="4.7538 0.0000 0.0000 0.0000 4.0219 0.0000 -0.2991 0.0000 6.9548" Properties=species:S:1:pos:R:3 comment="DySi4Pd3 (PBE, optimized geometry)" e_tot_ha_per_atom=-0.210 rho_g_cm3=7.42 pbc="T T T"
Dy 0.0000 0.0000 0.0000
Si 0.8636 2.0110 5.2147
Si 2.1925 0.0000 5.3496
Si 2.9569 0.0000 2.4565
Si 4.5480 2.0110 2.0505
Pd 0.6493 0.0000 3.3312
Pd 2.1869 2.0110 1.2026
Pd 3.3495 2.0110 4.2816

---

No. 3
5
Lattice="-2.0762 2.0762 6.1625 2.0762 -2.0762 6.1625 2.0762 2.0762 -6.1625" Properties=species:S:1:pos:R:3 comment="LaAlCdPt2 (PBE, optimized geometry)" e_tot_ha_per_atom=-0.190 rho_g_cm3=10.45 pbc="T T T"
La 0.0000 0.0000 0.0000
Al 2.0762 0.0000 3.0813
Cd 0.0000 2.0762 3.0813
Pt 0.0000 0.0000 4.8166
Pt 0.0000 0.0000 7.5085

---

No. 4
8
Lattice="5.4805 0.0000 0.0000 -2.7403 4.7463 0.0000 0.0000 0.0000 4.2857" Properties=species:S:1:pos:R:3 comment="ScFe3 (PBE, optimized geometry)" e_tot_ha_per_atom=-0.286 rho_g_cm3=6.33 formation_enthalpy_0k_ev_per_atom=0.02 pbc="T T T"
Sc 0.0000 3.1642 1.0714
Sc 2.7403 1.5821 3.2143
Fe 0.0000 1.4054 3.2143
Fe -1.5231 4.0436 3.2143
Fe 1.2171 0.7027 1.0714
Fe 1.5231 4.0436 3.2143
Fe 4.2634 0.7027 1.0714
Fe 2.7402 3.3409 1.0714

---

No. 5
4
Lattice="0.0000 3.3184 3.3184 3.3184 0.0000 3.3184 3.3184 3.3184 0.0000" Properties=species:S:1:pos:R:3 comment="YMgGaFe (PBE, optimized geometry)" e_tot_ha_per_atom=-0.176 rho_g_cm3=5.43 e_above_lowest_polymorph_mev_per_atom=76 pbc="T T T"
Y 0.0000 0.0000 0.0000
Mg 1.6592 1.6592 1.6592
Ga 3.3184 3.3184 3.3184
Fe 4.9775 4.9775 4.9775

---

No. 6
9
Lattice="7.6263 0.0000 0.0000 -3.8131 6.6046 0.0000 0.0000 0.0000 3.7166" Properties=species:S:1:pos:R:3 comment="Tm3In3NiPt2 (PBE, optimized geometry)" e_tot_ha_per_atom=-0.193 rho_g_cm3=11.53 pbc="T T T"
Tm -2.2557 3.9069 0.0000
Tm 1.5575 2.6976 0.0000
Tm 4.5113 0.0000 0.0000
In -0.9528 1.6502 1.8583
In 1.9055 0.0000 1.8583
In 2.8604 4.9543 1.8583
Ni 0.0000 0.0000 0.0000
Pt 0.0000 4.4030 1.8583
Pt 3.8131 2.2015 1.8583

---

No. 7
11
Lattice="4.5864 0.0000 0.0000 0.0000 4.5864 0.0000 0.0000 0.0000 12.2786" Properties=species:S:1:pos:R:3 comment="Dy2In8Fe (PBE, optimized geometry)" e_tot_ha_per_atom=-0.141 rho_g_cm3=8.35 pbc="T T T"
Dy 0.0000 0.0000 2.3751
Dy 0.0000 0.0000 9.9035
In 0.0000 2.2932 0.0000
In 0.0000 2.2932 4.6845
In 0.0000 2.2932 7.5941
In 2.2932 0.0000 0.0000
In 2.2932 0.0000 4.6845
In 2.2932 0.0000 7.5941
In 2.2932 2.2932 2.3605
In 2.2932 2.2932 9.9181
Fe 0.0000 0.0000 6.1393

---

No. 8
10
Lattice="5.2978 -3.0520 0.0000 5.2978 3.0520 0.0000 -3.5759 0.0000 5.0277" Properties=species:S:1:pos:R:3 comment="Ba2NdOsN6 (PBE, optimized geometry)" e_tot_ha_per_atom=-0.254 rho_g_cm3=7.08 e_above_lowest_polymorph_mev_per_atom=0 pbc="T T T"
Ba 1.7455 0.0000 1.2501
Ba 5.2742 0.0000 3.7776
Nd -1.7879 0.0000 2.5138
Os 5.2978 0.0000 0.0000
N 4.3660 1.3784 1.0286
N 0.2861 0.0000 3.7213
N 2.6537 1.3784 3.9991
N 4.3660 -1.3784 1.0286
N 6.7337 0.0000 1.3063
N 2.6537 -1.3784 3.9991

---

No. 9
9
Lattice="4.1635 0.0000 0.0000 0.0000 4.1635 0.0000 0.0000 0.0000 7.0428" Properties=species:S:1:pos:R:3 comment="Te2Pd2O5 (PBE, optimized geometry)" e_tot_ha_per_atom=-0.175 rho_g_cm3=7.45 e_above_lowest_polymorph_mev_per_atom=0 pbc="T T T"
Te 0.0000 0.0000 1.6050
Te 0.0000 0.0000 5.4378
Pd 2.0818 2.0818 0.0000
Pd 2.0818 2.0818 3.5214
O 0.0000 0.0000 3.5214
O 0.0000 2.0818 1.6281
O 0.0000 2.0818 5.4147
O 2.0818 0.0000 1.6281
O 2.0818 0.0000 5.4147

---

No. 10
6
Lattice="-2.1976 2.1976 8.6491 2.1976 -2.1976 8.6491 2.1976 2.1976 -8.6491" Properties=species:S:1:pos:R:3 comment="PrSmZr2Bi2 (PBE, optimized geometry)" e_tot_ha_per_atom=-0.234 rho_g_cm3=8.86 pbc="T T T"
Pr 0.0000 0.0000 0.0000
Sm 0.0000 0.0000 6.1189
Zr 2.1976 0.0000 3.0852
Zr 0.0000 2.1976 3.0852
Bi 0.0000 0.0000 9.4838
Bi 0.0000 0.0000 13.9799

---

No. 11
3
Lattice="0.0000 3.0781 3.0781 3.0781 0.0000 3.0781 3.0781 3.0781 0.0000" Properties=species:S:1:pos:R:3 comment="HfCoAg (PBE, optimized geometry)" e_tot_ha_per_atom=-0.223 rho_g_cm3=9.83 formation_enthalpy_0k_ev_per_atom=0.57 e_above_lowest_polymorph_mev_per_atom=383 pbc="T T T"
Hf 0.0000 0.0000 0.0000
Co 1.5391 1.5391 1.5391
Ag 4.6172 4.6172 4.6172

---

No. 12
4
Lattice="0.0000 3.1330 3.1330 3.1330 0.0000 3.1330 3.1330 3.1330 0.0000" Properties=species:S:1:pos:R:3 comment="BeReAu2 (PBE, optimized geometry)" e_tot_ha_per_atom=-0.184 rho_g_cm3=15.91 pbc="T T T"
Be 0.0000 0.0000 0.0000
Re 1.5665 1.5665 1.5665
Au 3.1330 3.1330 3.1330
Au 4.6996 4.6996 4.6996

---

Repeat the twelfth record exactly.
4
Lattice="0.0000 3.1330 3.1330 3.1330 0.0000 3.1330 3.1330 3.1330 0.0000" Properties=species:S:1:pos:R:3 comment="BeReAu2 (PBE, optimized geometry)" e_tot_ha_per_atom=-0.184 rho_g_cm3=15.91 pbc="T T T"
Be 0.0000 0.0000 0.0000
Re 1.5665 1.5665 1.5665
Au 3.1330 3.1330 3.1330
Au 4.6996 4.6996 4.6996

---

Copy entry 1 word for word.
12
Lattice="4.5465 0.0000 0.0000 0.0000 8.6230 0.0000 0.0000 0.0000 5.7152" Properties=species:S:1:pos:R:3 comment="ZrZn (PBE, optimized geometry)" e_tot_ha_per_atom=-0.187 rho_g_cm3=6.97 formation_enthalpy_0k_ev_per_atom=-0.19 pbc="T T T"
Zr 0.0000 0.0827 0.0000
Zr 0.0000 2.9611 3.7546
Zr 0.0000 5.6619 0.8970
Zr 0.0000 8.5403 2.8576
Zr 2.2732 1.6565 1.5482
Zr 2.2732 6.9665 4.4057
Zn 0.0000 2.9506 0.8589
Zn 0.0000 5.6724 3.7165
Zn 2.2732 1.2924 4.3404
Zn 2.2732 4.1103 5.3407
Zn 2.2732 4.5127 2.4831
Zn 2.2732 7.3306 1.4828